Record 1
Computed, not measured: a geometry-optimized ReP3Pd structure at the PBE level of DFT.

The structure in extended XYZ format:
```
5
Lattice="-0.4271 1.7123 4.2091 -0.3784 -4.2264 1.6809 4.5283 -0.1916 0.5374" Properties=species:S:1:pos:R:3 pbc="T T T"
Pd 0.0000 0.0000 0.0000
P -0.2135 0.8561 2.1045
Re 1.8614 -1.3529 3.2137
P 2.2641 -0.0958 0.2687
P -0.1892 -2.1132 0.8404
```

Summary:
The energy of formation from the pure elements is 1.473 eV per atom. As for the density of states at the Fermi level: 3.44 states/eV per cell. Its space group is Pm-3m, No. 221.



Record 2
Computed, not measured: a geometry-optimized Re3PPd structure at the PBE level of DFT.

The structure in extended XYZ format:
```
5
Lattice="-0.5745 2.4357 3.9772 2.7979 -3.0261 2.2574 3.7313 2.6441 -1.0803" Properties=species:S:1:pos:R:3 pbc="T T T"
Re 1.3989 -1.5130 1.1287
Re -0.2873 1.2179 1.9886
P 2.9774 1.0269 2.5772
Pd 0.0000 0.0000 0.0000
Re 1.8657 1.3220 -0.5402
```

Summary:
The energy of formation from the pure elements is 2.860 eV per atom. As for the density of states at the Fermi level: 7.84 states/eV per cell. Its space group is Pm-3m, No. 221.



Record 3
Computed, not measured: a geometry-optimized Re3PPd structure at the PBE level of DFT.

The structure in extended XYZ format:
```
5
Lattice="-3.2820 -1.7190 -2.2867 -1.4304 -2.0277 3.5774 -2.4775 3.4480 0.9638" Properties=species:S:1:pos:R:3 pbc="T T T"
Re -1.2387 1.7240 0.4819
Re -0.7152 -1.0139 1.7887
Pd -3.5950 -0.1494 1.1272
P 0.0000 0.0000 0.0000
Re -1.6410 -0.8595 -1.1434
```

Summary:
The energy of formation from the pure elements is 0.911 eV per atom. As for the density of states at the Fermi level: 3.87 states/eV per cell. Its space group is Pm-3m, No. 221.



Record 4
Computed, not measured: a geometry-optimized RePPd3 structure at the PBE level of DFT.

The structure in extended XYZ format:
```
5
Lattice="-2.1781 0.6901 -3.8416 3.1089 -2.3530 -2.1854 -2.3598 -3.7370 0.6666" Properties=species:S:1:pos:R:3 pbc="T T T"
Pd -1.0890 0.3451 -1.9208
Re -0.7145 -2.6999 -2.6802
Pd 1.5545 -1.1765 -1.0927
Pd -1.1799 -1.8685 0.3333
P 0.0000 0.0000 0.0000
```

Summary:
The energy of formation from the pure elements is 0.669 eV per atom. As for the density of states at the Fermi level: 2.07 states/eV per cell. Its space group is Pm-3m, No. 221.



| no. | calculated density (g/cm3) |
| --- | --- |
| 1 | 6.73 |
| 2 | 11.14 |
| 3 | 14.00 |
| 4 | 9.98 |